(1)
PrCo4P2 PBE optimized geometry; total energy = -6.924 eV/atom; crystal system = tetragonal; E_form = -0.635 eV/atom
1.0
3.584 0.000 0.000
0.000 7.215 0.000
0.000 0.000 7.215
Pr Co P
2 8 4
direct
0.500 0.000 0.000
0.000 0.500 0.500
0.000 0.081 0.345
0.000 0.655 0.919
0.000 0.919 0.655
0.500 0.419 0.845
0.500 0.155 0.581
0.500 0.845 0.419
0.500 0.581 0.155
0.000 0.345 0.081
0.000 0.776 0.224
0.500 0.724 0.724
0.000 0.224 0.776
0.500 0.276 0.276

***

(2)
SrYAl PBE optimized geometry; total energy = -3.248 eV/atom; crystal system = hexagonal; E_form = 0.715 eV/atom
1.0
4.754 -2.745 0.000
0.000 5.489 0.000
0.000 0.000 11.482
Sr Y Al
2 2 2
direct
0.333 0.667 0.250
0.667 0.333 0.750
0.000 0.000 0.000
0.000 0.000 0.500
0.000 0.000 0.750
0.000 0.000 0.250

***

(3)
SrZrOs2 PBE optimized geometry; total energy = -7.681 eV/atom; crystal system = monoclinic; E_form = 0.492 eV/atom
1.0
4.629 -0.004 -0.006
3.543 2.979 -0.006
1.051 0.383 6.497
Zr Os Sr
1 2 1
direct
0.250 0.250 0.250
0.988 0.988 0.081
0.512 0.512 0.419
0.750 0.750 0.750